# 1
VASP calculation (PBE-GGA) on a geometry-optimized CaHgHOs2 structure.

Lattice parameters (Å, degrees): 5.246 5.246 3.285 90.00 90.00 90.00
Fractional coordinates of all 5 atoms:
Ca (0.000, 0.000, 0.000)
Hg (0.500, 0.500, 0.500)
H (0.000, 0.000, 0.500)
Os (0.000, 0.500, 0.000)
Os (0.500, 0.000, 0.000)

DFT total energy in eV per atom: -3.57

***

# 2
VASP calculation (PBE-GGA) on a geometry-optimized MgTl2Tc structure.

Lattice parameters (Å, degrees): 5.329 5.329 5.329 132.50 132.50 69.44
Fractional coordinates of all 4 atoms:
Mg (0.000, 0.000, 0.000)
Tl (0.250, 0.750, 0.500)
Tl (0.750, 0.250, 0.500)
Tc (0.500, 0.500, 0.000)

DFT formation energy in eV/atom: 0.456
Energy above the lowest structure with this stoichiometry in meV/atom: 61.0

***

# 3
VASP calculation (PBE-GGA) on a geometry-optimized Pm2YSn9 structure.

Lattice parameters (Å, degrees): 4.716 4.716 14.436 90.00 90.00 90.00
Fractional coordinates of all 12 atoms:
Pm (0.000, 0.000, 0.167)
Pm (0.000, 0.000, 0.833)
Y (0.000, 0.000, 0.500)
Sn (0.000, 0.500, 0.000)
Sn (0.000, 0.500, 0.336)
Sn (0.000, 0.500, 0.664)
Sn (0.500, 0.000, 0.000)
Sn (0.500, 0.000, 0.336)
Sn (0.500, 0.000, 0.664)
Sn (0.500, 0.500, 0.168)
Sn (0.500, 0.500, 0.500)
Sn (0.500, 0.500, 0.832)

DFT formation energy in eV/atom: -0.468

***

# 4
VASP calculation (PBE-GGA) on a geometry-optimized CaPrEu structure.

Lattice parameters (Å, degrees): 8.595 8.595 8.595 154.41 154.41 36.50
Fractional coordinates of all 3 atoms:
Ca (0.000, 0.000, 0.000)
Pr (0.663, 0.663, 0.000)
Eu (0.323, 0.323, 0.000)

DFT formation energy in eV/atom: 0.053
Energy above the lowest structure with this stoichiometry in meV/atom: 5.8

***

# 5
VASP calculation (PBE-GGA) on a geometry-optimized AgSb2Te structure.

Lattice parameters (Å, degrees): 6.027 6.027 6.027 144.24 125.63 66.80
Fractional coordinates of all 4 atoms:
Ag (0.000, 0.000, 0.000)
Sb (0.238, 0.738, 0.500)
Sb (0.762, 0.262, 0.500)
Te (0.500, 0.500, 0.000)

ΔE_f (raw) in meV/atom: 242

***

# 6
VASP calculation (PBE-GGA) on a geometry-optimized HfZn3Rh structure.

Lattice parameters (Å, degrees): 5.240 5.119 5.918 90.00 91.71 90.00
Fractional coordinates of all 10 atoms:
Hf (0.140, 0.250, 0.189)
Hf (0.860, 0.750, 0.811)
Zn (0.348, 0.006, 0.668)
Zn (0.348, 0.494, 0.668)
Zn (0.370, 0.750, 0.035)
Zn (0.630, 0.250, 0.965)
Zn (0.652, 0.506, 0.332)
Zn (0.652, 0.994, 0.332)
Rh (0.082, 0.750, 0.366)
Rh (0.918, 0.250, 0.634)

DFT formation energy in eV/atom: -0.362
Energy above the lowest structure with this stoichiometry in meV/atom: 0.0

***

# 7
VASP calculation (PBE-GGA) on a geometry-optimized SbTeIr2 structure.

Lattice parameters (Å, degrees): 5.622 5.622 3.061 105.76 105.76 113.79
Fractional coordinates of all 4 atoms:
Sb (0.000, 0.000, 0.000)
Te (0.500, 0.500, 0.000)
Ir (0.000, 0.500, 0.500)
Ir (0.500, 0.000, 0.500)

ΔE_f (raw) in meV/atom: 667
Energy above the lowest structure with this stoichiometry in meV/atom: 594.3

***

# 8
VASP calculation (PBE-GGA) on a geometry-optimized TaHgCl structure.

Lattice parameters (Å, degrees): 3.120 3.120 8.051 90.00 90.00 120.00
Fractional coordinates of all 3 atoms:
Ta (0.000, 0.000, 0.000)
Hg (0.333, 0.667, 0.698)
Cl (0.667, 0.333, 0.215)

ΔE_f (raw) in meV/atom: -187
Energy above the lowest structure with this stoichiometry in meV/atom: 0.0

***

# 9
VASP calculation (PBE-GGA) on a geometry-optimized Ac6Y5Ho structure.

Lattice parameters (Å, degrees): 10.034 10.034 5.489 105.83 105.83 60.19
Fractional coordinates of all 12 atoms:
Ac (0.083, 0.584, 0.334)
Ac (0.249, 0.751, 0.000)
Ac (0.416, 0.917, 0.666)
Ac (0.584, 0.083, 0.334)
Ac (0.751, 0.249, 0.000)
Ac (0.917, 0.416, 0.666)
Y (0.167, 0.167, 0.167)
Y (0.334, 0.334, 0.834)
Y (0.500, 0.500, 0.500)
Y (0.666, 0.666, 0.166)
Y (0.833, 0.833, 0.833)
Ho (0.000, 0.000, 0.500)

DFT formation energy in eV/atom: 0.042

***

# 10
VASP calculation (PBE-GGA) on a geometry-optimized EuTmS2 structure.

Lattice parameters (Å, degrees): 6.975 6.975 6.975 32.92 32.92 32.92
Fractional coordinates of all 4 atoms:
Eu (0.000, 0.000, 0.000)
Tm (0.500, 0.500, 0.500)
S (0.243, 0.243, 0.243)
S (0.757, 0.757, 0.757)

ΔE_f (raw) in meV/atom: -2059

***

# 11
VASP calculation (PBE-GGA) on a geometry-optimized KNa2HgF structure.

Lattice parameters (Å, degrees): 4.950 4.950 5.290 90.00 90.00 90.00
Fractional coordinates of all 5 atoms:
K (0.000, 0.000, 0.000)
Na (0.000, 0.500, 0.500)
Na (0.500, 0.000, 0.500)
Hg (0.500, 0.500, 0.000)
F (0.000, 0.000, 0.500)

ΔE_f (raw) in meV/atom: -1080

***

# 12
VASP calculation (PBE-GGA) on a geometry-optimized CrSbIr structure.

Lattice parameters (Å, degrees): 6.038 6.038 6.038 151.76 151.76 40.36
Fractional coordinates of all 3 atoms:
Cr (0.000, 0.000, 0.000)
Sb (0.328, 0.328, 0.000)
Ir (0.630, 0.630, 0.000)

ΔE_f (raw) in meV/atom: 262

***

| no. | DOS at the Fermi energy (states/eV/atom) |
| --- | --- |
| 1 | 0.677 |
| 2 | 0.283 |
| 3 | 0.672 |
| 4 | 1.243 |
| 5 | 0.452 |
| 6 | 0.302 |
| 7 | 0.680 |
| 8 | 0.258 |
| 9 | 1.277 |
| 10 | 0.416 |
| 11 | 0.453 |
| 12 | 0.615 |